A:
Density functional theory data (PBE) for a geometry-optimized LaTiSi2 structure.

- D(E_F): 3.42 states/eV/cell
- Space group: Fm-3m (225)

The structure in POSCAR format:
```
LaTiSi2
1.0
0.0000 3.4319 3.4319
3.4319 0.0000 3.4319
3.4319 3.4319 0.0000
La Ti Si
1 1 2
Direct
0.0000 0.0000 0.0000
0.5000 0.5000 0.5000
0.2500 0.2500 0.2500
0.7500 0.7500 0.7500
```

B:
Density functional theory data (PBE) for a geometry-optimized LaTiSi2 structure.

- D(E_F): 7.05 states/eV/cell
- Space group: I-42d (122)

The structure in POSCAR format:
```
LaTiSi2
1.0
-2.4151 2.4151 8.4746
2.4151 -2.4151 8.4746
2.4151 2.4151 -8.4746
La Ti Si
2 2 4
Direct
0.0000 0.0000 0.0000
0.7500 0.2500 0.5000
0.2500 0.7500 0.5000
0.5000 0.5000 0.0000
0.3217 0.6250 0.1967
0.3750 0.5717 0.6967
0.4283 0.1250 0.8033
0.8750 0.6783 0.3033
```

Which structure is the least stable? The one labeled B.

A:
Density functional theory data (PBE) for a geometry-optimized LaTi2Si2 structure.

- D(E_F): 9.84 states/eV/cell
- Space group: P4/mbm (127)

The structure in POSCAR format:
```
LaTi2Si2
1.0
7.9093 0.0000 0.0000
0.0000 7.9093 0.0000
0.0000 0.0000 2.8865
La Ti Si
2 4 4
Direct
0.0000 0.0000 0.0000
0.5000 0.5000 0.0000
0.1200 0.3800 0.0000
0.3800 0.8800 0.0000
0.6200 0.1200 0.0000
0.8800 0.6200 0.0000
0.1711 0.6711 0.5000
0.3289 0.1711 0.5000
0.6711 0.8289 0.5000
0.8289 0.3289 0.5000
```

B:
Density functional theory data (PBE) for a geometry-optimized LaTi2Si2 structure.

- D(E_F): 4.90 states/eV/cell
- Space group: I4/mmm (139)

The structure in POSCAR format:
```
LaTi2Si2
1.0
-2.3854 2.3854 4.6892
2.3854 -2.3854 4.6892
2.3854 2.3854 -4.6892
La Ti Si
1 2 2
Direct
0.0000 0.0000 0.0000
0.3394 0.3394 0.0000
0.6606 0.6606 0.0000
0.2500 0.7500 0.5000
0.7500 0.2500 0.5000
```

Which structure is the least stable? The one labeled B.

A:
Density functional theory data (PBE) for a geometry-optimized LaTl2Si structure.

- D(E_F): 2.05 states/eV/cell
- Space group: Cmm2 (35)

The structure in POSCAR format:
```
LaTl2Si
1.0
2.5631 -2.9062 0.0000
2.5631 2.9062 0.0000
0.0000 0.0000 7.2875
La Tl Si
1 2 1
Direct
0.0000 0.0000 0.0000
0.0000 0.0000 0.4499
0.5000 0.5000 0.6979
0.5000 0.5000 0.2366
```

B:
Density functional theory data (PBE) for a geometry-optimized LaTl2Si structure.

- D(E_F): 3.04 states/eV/cell
- Space group: Cmmm (65)

The structure in POSCAR format:
```
LaTl2Si
1.0
2.6460 -2.8171 0.0000
2.6460 2.8171 0.0000
0.0000 0.0000 7.1085
La Tl Si
1 2 1
Direct
0.0000 0.0000 0.0000
0.5000 0.5000 0.2885
0.5000 0.5000 0.7115
0.0000 0.0000 0.5000
```

C:
Density functional theory data (PBE) for a geometry-optimized LaTl2Si structure.

- D(E_F): 1.94 states/eV/cell
- Space group: P2/m (10)

The structure in POSCAR format:
```
LaTl2Si
1.0
4.7229 0.0000 0.0000
0.0000 5.1238 0.0000
-0.6346 0.0000 4.7152
La Tl Si
1 2 1
Direct
0.0000 0.0000 0.0000
0.2870 0.5000 0.7135
0.7130 0.5000 0.2865
0.5000 0.0000 0.5000
```

D:
Density functional theory data (PBE) for a geometry-optimized LaTl2Si structure.

- D(E_F): 2.94 states/eV/cell
- Space group: P4/mmm (123)

The structure in POSCAR format:
```
LaTl2Si
1.0
4.5437 0.0000 0.0000
0.0000 4.5437 0.0000
0.0000 0.0000 5.0895
La Tl Si
1 2 1
Direct
0.0000 0.0000 0.0000
0.0000 0.5000 0.5000
0.5000 0.0000 0.5000
0.5000 0.5000 0.0000
```

Which structure is the least stable? The one labeled B.

A:
Density functional theory data (PBE) for a geometry-optimized LaTlSi structure.

- D(E_F): 2.34 states/eV/cell
- Space group: F-43m (216)

The structure in POSCAR format:
```
LaTlSi
1.0
0.0000 3.5054 3.5054
3.5054 0.0000 3.5054
3.5054 3.5054 0.0000
La Tl Si
1 1 1
Direct
0.0000 0.0000 0.0000
0.5000 0.5000 0.5000
0.7500 0.7500 0.7500
```

B:
Density functional theory data (PBE) for a geometry-optimized LaTlSi structure.

- D(E_F): 2.92 states/eV/cell
- Space group: Cmcm (63)

The structure in POSCAR format:
```
LaTlSi
1.0
2.1363 -9.7506 0.0000
2.1363 9.7506 0.0000
0.0000 0.0000 3.8900
La Tl Si
2 2 2
Direct
0.0905 0.9095 0.7500
0.9095 0.0905 0.2500
0.2898 0.7102 0.7500
0.7102 0.2898 0.2500
0.4649 0.5351 0.7500
0.5351 0.4649 0.2500
```

Which structure is the least stable? The one labeled A.

A:
Density functional theory data (PBE) for a geometry-optimized LaTlSi structure.

- D(E_F): 1.67 states/eV/cell
- Space group: Fmm2 (42)

The structure in POSCAR format:
```
LaTlSi
1.0
0.0000 2.9636 5.9037
2.3085 0.0000 5.9037
2.3085 2.9636 0.0000
La Tl Si
1 1 1
Direct
0.0000 0.0000 0.0000
0.7078 0.7078 0.2922
0.3430 0.3430 0.6570
```

B:
Density functional theory data (PBE) for a geometry-optimized LaTlSi structure.

- D(E_F): 1.87 states/eV/cell
- Space group: Imm2 (44)

The structure in POSCAR format:
```
LaTlSi
1.0
-1.6636 2.0107 5.7852
1.6636 -2.0107 5.7852
1.6636 2.0107 -5.7852
La Tl Si
1 1 1
Direct
0.0000 0.0000 0.0000
0.2935 0.2935 0.0000
0.6567 0.6567 0.0000
```

C:
Density functional theory data (PBE) for a geometry-optimized LaTlSi structure.

- D(E_F): 2.56 states/eV/cell
- Space group: P3m1 (156)

The structure in POSCAR format:
```
LaTlSi
1.0
3.4692 0.0000 0.0000
-1.7346 3.0044 0.0000
0.0000 0.0000 7.6425
La Tl Si
1 1 1
Direct
0.0000 0.0000 0.0000
0.6667 0.3333 0.6152
0.3333 0.6667 0.3247
```

D:
Density functional theory data (PBE) for a geometry-optimized LaTlSi structure.

- D(E_F): 0.28 states/eV/cell
- Space group: P3m1 (156)

The structure in POSCAR format:
```
LaTlSi
1.0
4.4377 0.0000 0.0000
-2.2188 3.8431 0.0000
0.0000 0.0000 4.8186
La Tl Si
1 1 1
Direct
0.0000 0.0000 0.0000
0.3333 0.6667 0.5658
0.6667 0.3333 0.3399
```

Which structure is the least stable? The one labeled C.

A:
Density functional theory data (PBE) for a geometry-optimized La4TlSi structure.

- D(E_F): 7.03 states/eV/cell
- Space group: F-43m (216)

The structure in POSCAR format:
```
La4TlSi
1.0
0.0000 4.5308 4.5308
4.5308 0.0000 4.5308
4.5308 4.5308 0.0000
La Tl Si
4 1 1
Direct
0.1237 0.1237 0.1237
0.1237 0.1237 0.6290
0.1237 0.6290 0.1237
0.6290 0.1237 0.1237
0.5000 0.5000 0.5000
0.7500 0.7500 0.7500
```

B:
Density functional theory data (PBE) for a geometry-optimized La4TlSi structure.

- D(E_F): 12.87 states/eV/cell
- Space group: P2_1/m (11)

The structure in POSCAR format:
```
La4TlSi
1.0
6.0103 0.0000 0.0000
0.0000 7.0845 0.0000
-1.5701 0.0000 8.8411
La Tl Si
8 2 2
Direct
0.1510 0.2500 0.0424
0.1847 0.7500 0.3654
0.3475 0.5215 0.7478
0.3475 0.9785 0.7478
0.6525 0.0215 0.2522
0.6525 0.4785 0.2522
0.8153 0.2500 0.6346
0.8490 0.7500 0.9576
0.2256 0.2500 0.4188
0.7744 0.7500 0.5812
0.3494 0.7500 0.0453
0.6506 0.2500 0.9547
```

Which structure is the least stable? The one labeled A.